1.
A relaxed structure of SiPOsRuC. Source: Alexandria, functional GGA-PBE.

* formation energy from raw total energies: 181 meV per atom
* polymorph energy (0 for the lowest one): 128 meV per atom
* VASP energy: -39.66 eV/cell

a b c (Å): 2.8876 4.2470 5.7333
angles (deg): 92.30 89.97 109.93
Closest atoms and distances in Å follow each position.
Fractional coordinates of all 5 atoms:
C  0.9867  0.8918  0.7601  2 Si 2.00, 1 Ru 2.08, 2 Os 2.08
P  0.2390  0.3967  0.3602  3 Os 2.35-2.45, 2 Ru 2.47
Ru  0.8950  0.7081  0.0941  1 C 2.08
Os  0.5194  0.9565  0.5040  2 C 2.08
Si  0.6217  0.1611  0.9208  2 C 2.00

=====

2.
A relaxed structure of SiPOsRuC. Source: Alexandria, functional GGA-PBE.

* formation energy from raw total energies: 224 meV per atom
* polymorph energy (0 for the lowest one): 170 meV per atom
* VASP energy: -39.44 eV/cell

a b c (Å): 4.4413 2.8573 5.1061
angles (deg): 90.00 101.78 90.00
Closest atoms and distances in Å follow each position.
Fractional coordinates of all 5 atoms:
Si  0.6759  0.5000  0.8437  2 C 1.96
P  0.6010  0.5000  0.2711  1 Si 2.27, 2 Ru 2.36, 1 Os 2.37
Ru  0.1749  0.0000  0.1351  1 C 2.10
C  0.3687  0.0000  0.7932  2 Si 1.96, 2 Os 2.08, 1 Ru 2.10
Os  0.0653  0.5000  0.5962  2 C 2.08

=====

3.
A relaxed structure of SiPOsRuC. Source: Alexandria, functional GGA-PBE.

* formation energy from raw total energies: 247 meV per atom
* polymorph energy (0 for the lowest one): 193 meV per atom
* VASP energy: -78.65 eV/cell

a b c (Å): 5.7368 2.8879 7.8801
angles (deg): 90.00 102.31 90.00
Closest atoms and distances in Å follow each position.
Fractional coordinates of all 10 atoms:
Ru  0.0794  0.5000  0.2797  2 C 2.17, 2 P 2.39
Ru  0.0794  0.0000  0.7797  2 C 2.17, 2 P 2.39
Si  0.8498  0.5000  0.5216  2 C 2.00
Si  0.8498  0.0000  0.0216  2 C 2.00
Os  0.4943  0.0000  0.1605  1 C 2.14, 3 P 2.30-2.34
Os  0.4943  0.5000  0.6605  1 C 2.14, 3 P 2.30-2.34
C  0.8286  0.5000  0.8431  2 Si 2.00, 1 Os 2.14, 2 Ru 2.17
C  0.8286  0.0000  0.3431  2 Si 2.00, 1 Os 2.14, 2 Ru 2.17
P  0.3871  0.0000  0.4305  3 Os 2.30-2.34, 2 Ru 2.39
P  0.3871  0.5000  0.9305  3 Os 2.30-2.34, 2 Ru 2.39

=====

4.
A relaxed structure of SiPOsRuC. Source: Alexandria, functional GGA-PBE.

* formation energy from raw total energies: 177 meV per atom
* polymorph energy (0 for the lowest one): 124 meV per atom
* VASP energy: -79.35 eV/cell

a b c (Å): 7.0287 2.9454 7.1529
angles (deg): 90.00 118.19 90.00
Closest atoms and distances in Å follow each position.
Fractional coordinates of all 10 atoms:
Os  0.5440  0.5000  0.8640  2 C 2.10
Os  0.5440  0.0000  0.3640  2 C 2.10
Si  0.8550  0.5000  0.2378  1 C 1.89
Si  0.8550  0.0000  0.7378  1 C 1.89
P  0.3487  0.5000  0.4853  3 Os 2.39-2.44, 2 Ru 2.39
P  0.3487  0.0000  0.9853  3 Os 2.39-2.44, 2 Ru 2.39
C  0.7839  0.5000  0.4610  1 Si 1.89, 2 Os 2.10
C  0.7839  0.0000  0.9610  1 Si 1.89, 2 Os 2.10
Ru  0.1075  0.5000  0.7135  1 C 2.13, 2 Si 2.37, 2 P 2.39
Ru  0.1075  0.0000  0.2135  1 C 2.13, 2 Si 2.37, 2 P 2.39

=====

Q: Which value of formation energy from raw total energies does entry 2 give?
A: 224 meV per atom